The following is a PBE with a Hubbard U calculation of crystalline CdCoSeO at its relaxed geometry, from OQMD.

Output
- Total magnetization: 3.00 μB per formula unit
- ΔE to the lowest computed polymorph: 0.1 kJ/mol of atoms

a = 5.779 Å, b = 3.776 Å, c = 13.185 Å
α = 90.00°, β = 90.00°, γ = 90.00°
Space group Pnma (No. 62)
Unique sites:
Cd (0.235, 0.250, 0.088) [4 per cell]
Co (0.144, 0.750, 0.308) [4 per cell]
Se (0.238, 0.750, 0.918) [4 per cell]
O (0.195, 0.250, 0.682) [4 per cell]